Entry from Alexandria: a relaxed Pm3ZnAs crystal (PBE-GGA).

Lattice parameters (Å, degrees): 5.5462 5.5462 5.5462 90.00 90.00 90.00
Element x y z (fractional)
Pm  0.0000  0.0000  0.5000
Pm  0.0000  0.5000  0.0000
Pm  0.5000  0.0000  0.0000
Zn  0.5000  0.5000  0.5000
As  0.0000  0.0000  0.0000

Output
E_form (meV/atom): -245
D(E_F) (states/eV/atom): 1.77
SG: Pm-3m, No. 221

Entry from Alexandria: a relaxed PrSmY crystal (PBE-GGA).

Lattice parameters (Å, degrees): 8.1350 8.1350 8.1350 154.12 154.12 36.93
Element x y z (fractional)
Pr  0.0000  0.0000  0.0000
Sm  0.3317  0.3317  0.0000
Y  0.6674  0.6674  0.0000

Output
E_form (meV/atom): 20
D(E_F) (states/eV/atom): 1.50
SG: I4mm, No. 107

Entry from Alexandria: a relaxed Tm2PtPb crystal (PBE-GGA).

Lattice parameters (Å, degrees): 8.5488 8.5488 8.5488 26.33 26.33 26.33
Element x y z (fractional)
Tm  0.2323  0.2323  0.2323
Tm  0.7677  0.7677  0.7677
Pt  0.5000  0.5000  0.5000
Pb  0.0000  0.0000  0.0000

Output
E_form (meV/atom): -775
D(E_F) (states/eV/atom): 0.76
SG: R-3m, No. 166

Entry from Alexandria: a relaxed GaTeIN2 crystal (PBE-GGA).

Lattice parameters (Å, degrees): 4.0516 4.0516 7.4645 90.00 90.00 90.00
Element x y z (fractional)
Ga  0.0000  0.0000  0.0000
Te  0.5000  0.5000  0.5000
I  0.0000  0.0000  0.5000
N  0.0000  0.5000  0.0000
N  0.5000  0.0000  0.0000

Output
ΔE_f (raw) (kJ/mol of atoms): 148.4
D(E_F) (states/eV/atom): 1.24
SG: P4/mmm, No. 123

Entry from Alexandria: a relaxed CaAcPH2 crystal (PBE-GGA).

Lattice parameters (Å, degrees): 6.3641 6.3641 7.5719 90.00 90.00 142.23
Element x y z (fractional)
Ca  0.0000  0.0000  0.0000
Ca  0.0000  0.0000  0.5000
Ac  0.2657  0.7343  0.7500
Ac  0.7343  0.2657  0.2500
P  0.4352  0.5648  0.2500
P  0.5648  0.4352  0.7500
H  0.1850  0.8150  0.0676
H  0.1850  0.8150  0.4324
H  0.8150  0.1850  0.5676
H  0.8150  0.1850  0.9324

Output
Energy (eV for the cell shown): -45.6
SG: Cmcm, No. 63

Entry from Alexandria: a relaxed TmNbCo10 crystal (PBE-GGA).

Lattice parameters (Å, degrees): 3.9749 4.7547 8.2519 90.00 90.00 90.00
Element x y z (fractional)
Tm  0.0000  0.0000  0.0000
Nb  0.0000  0.5000  0.5000
Co  0.0000  0.0000  0.3440
Co  0.0000  0.0000  0.6560
Co  0.0000  0.5000  0.1788
Co  0.0000  0.5000  0.8212
Co  0.5000  0.0000  0.5000
Co  0.5000  0.2547  0.2576
Co  0.5000  0.2547  0.7424
Co  0.5000  0.5000  0.0000
Co  0.5000  0.7453  0.2576
Co  0.5000  0.7453  0.7424

Output
E_form (meV/atom): -26
D(E_F) (states/eV/atom): 1.43
SG: Pmmm, No. 47

Entry from Alexandria: a relaxed KLiLaCl5 crystal (PBE-GGA).

Lattice parameters (Å, degrees): 7.6100 7.6100 10.3667 103.65 103.65 107.48
Element x y z (fractional)
K  0.1480  0.8520  0.7500
K  0.8520  0.1480  0.2500
Li  0.1893  0.8107  0.2500
Li  0.8107  0.1893  0.7500
La  0.5000  0.5000  0.0000
La  0.5000  0.5000  0.5000
Cl  0.1149  0.2443  0.9228
Cl  0.1813  0.5808  0.3742
Cl  0.2443  0.1149  0.4228
Cl  0.4078  0.5922  0.7500
Cl  0.4192  0.8187  0.1258
Cl  0.5808  0.1813  0.8742
Cl  0.5922  0.4078  0.2500
Cl  0.7557  0.8851  0.5772
Cl  0.8187  0.4192  0.6258
Cl  0.8851  0.7557  0.0772

Output
ΔE_f (raw) (kJ/mol of atoms): -206.3
D(E_F) (states/eV/atom): 0.00
SG: C2/c, No. 15

Entry from Alexandria: a relaxed CoPb2Cl crystal (PBE-GGA).

Lattice parameters (Å, degrees): 7.9817 7.9817 7.9817 155.85 150.02 38.86
Element x y z (fractional)
Co  0.0000  0.0000  0.0000
Pb  0.1557  0.6557  0.5000
Pb  0.4654  0.4654  0.0000
Cl  0.7566  0.2566  0.5000

Output
ΔE_f (raw) (kJ/mol of atoms): 9.1
D(E_F) (states/eV/atom): 0.63
SG: Imm2, No. 44

Entry from Alexandria: a relaxed CsK2MgF5 crystal (PBE-GGA).

Lattice parameters (Å, degrees): 7.2201 7.2201 7.2201 146.88 126.95 63.98
Element x y z (fractional)
Cs  0.0000  0.0000  0.0000
K  0.2826  0.7826  0.5000
K  0.7174  0.2174  0.5000
Mg  0.5000  0.5000  0.0000
F  0.1608  0.3782  0.7827
F  0.4045  0.6218  0.7827
F  0.5000  0.0000  0.5000
F  0.5955  0.3782  0.2173
F  0.8392  0.6218  0.2173

Output
ΔE_f (raw) (kJ/mol of atoms): -292.0
D(E_F) (states/eV/atom): 0.00
SG: Immm, No. 71

Entry from Alexandria: a relaxed K2Na3US6 crystal (PBE-GGA).

Lattice parameters (Å, degrees): 7.5601 7.5601 6.8919 101.40 101.40 119.60
Element x y z (fractional)
K  0.1674  0.8326  0.0000
K  0.8326  0.1674  0.0000
Na  0.0000  0.0000  0.5000
Na  0.3310  0.6690  0.5000
Na  0.6690  0.3310  0.5000
U  0.5000  0.5000  0.0000
S  0.1408  0.4197  0.7574
S  0.3042  0.3042  0.2265
S  0.4197  0.1408  0.7574
S  0.5803  0.8592  0.2426
S  0.6958  0.6958  0.7735
S  0.8592  0.5803  0.2426

Output
ΔE_f (raw) (kJ/mol of atoms): -108.6
D(E_F) (states/eV/atom): 0.87
SG: C2/m, No. 12

Entry from Alexandria: a relaxed PmNd3Co crystal (PBE-GGA).

Lattice parameters (Å, degrees): 5.4615 5.4615 5.4615 90.00 90.00 90.00
Element x y z (fractional)
Pm  0.0000  0.0000  0.0000
Nd  0.0000  0.5000  0.5000
Nd  0.5000  0.0000  0.5000
Nd  0.5000  0.5000  0.0000
Co  0.5000  0.5000  0.5000

Output
E_form (meV/atom): 89
D(E_F) (states/eV/atom): 1.70
SG: Pm-3m, No. 221

Entry from Alexandria: a relaxed LaPr3Ga2 crystal (PBE-GGA).

Lattice parameters (Å, degrees): 9.2996 9.2996 9.2405 111.97 111.97 29.43
Element x y z (fractional)
La  0.1175  0.1175  0.1452
La  0.8825  0.8825  0.8548
Pr  0.0491  0.0491  0.6883
Pr  0.3200  0.3200  0.0644
Pr  0.3517  0.3517  0.5231
Pr  0.6483  0.6483  0.4769
Pr  0.6800  0.6800  0.9356
Pr  0.9509  0.9509  0.3117
Ga  0.2300  0.2300  0.7073
Ga  0.4986  0.4986  0.8567
Ga  0.5014  0.5014  0.1433
Ga  0.7700  0.7700  0.2927

Output
E_form (meV/atom): -345
D(E_F) (states/eV/atom): 1.04
SG: C2/m, No. 12

Entry from Alexandria: a relaxed Nd3Dy2Er crystal (PBE-GGA).

Lattice parameters (Å, degrees): 8.0885 8.0885 5.0480 90.00 90.00 143.04
Element x y z (fractional)
Nd  0.0000  0.0000  0.0000
Nd  0.3335  0.6665  0.0000
Nd  0.6665  0.3335  0.0000
Dy  0.1665  0.8335  0.5000
Dy  0.8335  0.1665  0.5000
Er  0.5000  0.5000  0.5000

Output
E_form (meV/atom): 16
D(E_F) (states/eV/atom): 1.32
SG: Cmmm, No. 65

Entry from Alexandria: a relaxed Ta2CoSbP crystal (PBE-GGA).

Lattice parameters (Å, degrees): 5.0870 5.0870 4.3866 90.00 90.00 90.00
Element x y z (fractional)
Ta  0.0000  0.5000  0.0000
Ta  0.5000  0.0000  0.0000
Co  0.0000  0.0000  0.5000
Sb  0.0000  0.0000  0.0000
P  0.5000  0.5000  0.5000

Output
ΔE_f (raw) (kJ/mol of atoms): 174.2
D(E_F) (states/eV/atom): 1.41
SG: P4/mmm, No. 123

Entry from Alexandria: a relaxed ScMnS2 crystal (PBE-GGA).

Lattice parameters (Å, degrees): 6.7854 6.7854 6.7854 135.08 135.08 65.40
Element x y z (fractional)
Sc  0.0000  0.0000  0.0000
Sc  0.7500  0.2500  0.5000
Mn  0.2500  0.7500  0.5000
Mn  0.5000  0.5000  0.0000
S  0.1769  0.6250  0.0519
S  0.3750  0.4269  0.5519
S  0.5731  0.1250  0.9481
S  0.8750  0.8231  0.4481

Output
ΔE_f (raw) (kJ/mol of atoms): -81.8
D(E_F) (states/eV/atom): 1.19
SG: I-42d, No. 122

Entry from Alexandria: a relaxed AcCeAg2 crystal (PBE-GGA).

Lattice parameters (Å, degrees): 3.8812 3.8812 7.5671 90.00 90.00 90.00
Element x y z (fractional)
Ac  0.0000  0.0000  0.0000
Ce  0.0000  0.0000  0.5000
Ag  0.5000  0.5000  0.2744
Ag  0.5000  0.5000  0.7256

Output
E_form (meV/atom): -138
D(E_F) (states/eV/atom): 2.34
SG: P4/mmm, No. 123

Entry from Alexandria: a relaxed Dy12Tl2Hg5 crystal (PBE-GGA).

Lattice parameters (Å, degrees): 8.8633 8.8633 9.7012 96.42 96.42 50.33
Element x y z (fractional)
Dy  0.0166  0.0166  0.2932
Dy  0.0673  0.5573  0.8614
Dy  0.0960  0.6211  0.4472
Dy  0.3789  0.9040  0.5528
Dy  0.4197  0.4197  0.1829
Dy  0.4427  0.9327  0.1386
Dy  0.5573  0.0673  0.8614
Dy  0.5803  0.5803  0.8171
Dy  0.6211  0.0960  0.4472
Dy  0.9040  0.3789  0.5528
Dy  0.9327  0.4427  0.1386
Dy  0.9834  0.9834  0.7068
Tl  0.2168  0.7832  0.0000
Tl  0.7832  0.2168  0.0000
Hg  0.1608  0.1608  0.8660
Hg  0.2247  0.2247  0.3646
Hg  0.5000  0.5000  0.5000
Hg  0.7753  0.7753  0.6354
Hg  0.8392  0.8392  0.1340

Output
E_form (meV/atom): -127
D(E_F) (states/eV/atom): 1.06
SG: C2/m, No. 12

Entry from Alexandria: a relaxed Mg2ReW crystal (PBE-GGA).

Lattice parameters (Å, degrees): 3.2079 3.2079 6.9280 90.00 90.00 90.00
Element x y z (fractional)
Mg  0.0000  0.0000  0.0000
Mg  0.5000  0.5000  0.2903
Re  0.0000  0.0000  0.5481
W  0.5000  0.5000  0.7319

Output
E_form (meV/atom): 180
D(E_F) (states/eV/atom): 0.58
SG: P4mm, No. 99

Entry from Alexandria: a relaxed Zn14AgPd crystal (PBE-GGA).

Lattice parameters (Å, degrees): 5.6177 5.6177 7.5740 90.00 90.00 90.00
Element x y z (fractional)
Zn  0.0000  0.0000  0.0000
Zn  0.0000  0.5000  0.0000
Zn  0.0000  0.5000  0.5000
Zn  0.2468  0.2468  0.2440
Zn  0.2468  0.2468  0.7560
Zn  0.2468  0.7532  0.2440
Zn  0.2468  0.7532  0.7560
Zn  0.5000  0.0000  0.0000
Zn  0.5000  0.0000  0.5000
Zn  0.5000  0.5000  0.0000
Zn  0.7532  0.2468  0.2440
Zn  0.7532  0.2468  0.7560
Zn  0.7532  0.7532  0.2440
Zn  0.7532  0.7532  0.7560
Ag  0.5000  0.5000  0.5000
Pd  0.0000  0.0000  0.5000

Output
E_form (meV/atom): -67
D(E_F) (states/eV/atom): 0.23
SG: P4/mmm, No. 123

Entry from Alexandria: a relaxed SrTb8Nd6 crystal (PBE-GGA).

Lattice parameters (Å, degrees): 8.3519 8.3519 8.3519 72.16 72.16 72.16
Element x y z (fractional)
Sr  0.0000  0.0000  0.0000
Tb  0.0540  0.3837  0.8618
Tb  0.1382  0.9460  0.6163
Tb  0.2333  0.2333  0.2333
Tb  0.3837  0.8618  0.0540
Tb  0.6163  0.1382  0.9460
Tb  0.7667  0.7667  0.7667
Tb  0.8618  0.0540  0.3837
Tb  0.9460  0.6163  0.1382
Nd  0.1710  0.6182  0.4317
Nd  0.3818  0.5683  0.8290
Nd  0.4317  0.1710  0.6182
Nd  0.5683  0.8290  0.3818
Nd  0.6182  0.4317  0.1710
Nd  0.8290  0.3818  0.5683

Output
E_form (meV/atom): 204
D(E_F) (states/eV/atom): 1.37
SG: R-3, No. 148